# 1
Entry from Alexandria via LeMat-Bulk: a relaxed CeThTlIr crystal (PBE).

Properties
formation energy: -476 meV/atom
DOS at the Fermi energy: 1.7917 states/eV per atom

a b c (Å): 4.054 4.056 8.666
angles (deg): 90.02 103.59 120.02
Each line ends with the local moment (μB).
Positions (direct):
Ce: 0.099 0.948 0.061  0.47
Th: 0.508 0.152 0.677  0.01
Ir: 0.304 0.550 0.870  -0.02
Tl: 0.967 0.381 0.362  0.01


# 2
Entry from Alexandria via LeMat-Bulk: a relaxed CaMnIr crystal (PBE).

Properties
formation energy: 92 meV/atom
energy above the most stable polymorph in this dataset: 296.7 meV/atom
DOS at the Fermi energy: 1.0942 states/eV per atom

a b c (Å): 3.462 5.753 6.052
angles (deg): 104.75 90.04 72.66
Each line ends with the local moment (μB).
Positions (direct):
Mn: 0.286 0.361 0.756  0.69
Ir: 0.865 0.203 0.453  0.02
Ir: 0.280 0.371 0.186  0.02
Ca: 0.574 0.813 0.081  0.00
Mn: 0.859 0.212 0.882  0.68
Ca: 0.571 0.761 0.557  0.00


# 3
Entry from Alexandria via LeMat-Bulk: a relaxed PrGdCdAg crystal (PBE).

Properties
formation energy: -288 meV/atom
DOS at the Fermi energy: 1.3338 states/eV per atom

a b c (Å): 5.345 5.345 5.345
angles (deg): 60.00 60.00 60.00
Each line ends with the local moment (μB).
Positions (direct):
Ag: 0.250 0.250 0.250  0.02
Pr: 0.000 0.000 0.000  0.13
Gd: 0.500 0.500 0.500  7.16
Cd: 0.750 0.750 0.750  0.01


> The lowest DOS at the Fermi energy belongs to which entry?

CaMnIr


> Among the records above, which one has the highest formation energy?

CaMnIr